First-principles (PBE) data for a geometry-optimized AcYRhO6 structure, as listed in Alexandria.

Output
uncorrected energy	-7.371	eV/atom
SG	No. 149
calculated volume	15.75	Å³ per atom
Fermi-level density of states	0.142	states/eV/atom
formation energy (no corrections)	-2074	meV/atom

```
AcYRhO6
1.0
5.5559 0.0000 0.0000
-2.7780 4.8116 0.0000
0.0000 0.0000 5.3024
Ac Y Rh O
1 1 1 6
Direct
0.0000 0.0000 0.0000 Ac
0.3333 0.6667 0.5000 Y
0.6667 0.3333 0.5000 Rh
0.3803 0.0387 0.7130 O
0.3803 0.3416 0.2870 O
0.6584 0.0387 0.2870 O
0.6584 0.6197 0.7130 O
0.9613 0.3416 0.7130 O
0.9613 0.6197 0.2870 O
```

---

First-principles (PBE) data for a geometry-optimized AcY2RhO8 structure, as listed in Alexandria.

Output
uncorrected energy	-7.518	eV/atom
SG	No. 10
calculated volume	15.22	Å³ per atom
Fermi-level density of states	0.448	states/eV/atom
formation energy (no corrections)	-2180	meV/atom

```
AcY2RhO8
1.0
5.0696 0.0000 0.0000
0.0000 7.0993 0.0000
-0.0116 0.0000 5.0732
Ac Y Rh O
1 2 1 8
Direct
0.0000 0.0000 0.0000 Ac
0.5000 0.2635 0.5000 Y
0.5000 0.7365 0.5000 Y
0.0000 0.5000 0.0000 Rh
0.1868 0.2999 0.8147 O
0.1868 0.7001 0.8147 O
0.2757 0.5000 0.2775 O
0.3251 0.0000 0.3268 O
0.6749 0.0000 0.6732 O
0.7243 0.5000 0.7225 O
0.8132 0.2999 0.1853 O
0.8132 0.7001 0.1853 O
```

---

What is the formation energy (no corrections) in the first record?
-2074 meV/atom

---

Please write out number 1 again, unchanged.
First-principles (PBE) data for a geometry-optimized AcYRhO6 structure, as listed in Alexandria.

Output
uncorrected energy	-7.371	eV/atom
SG	No. 149
calculated volume	15.75	Å³ per atom
Fermi-level density of states	0.142	states/eV/atom
formation energy (no corrections)	-2074	meV/atom

```
AcYRhO6
1.0
5.5559 0.0000 0.0000
-2.7780 4.8116 0.0000
0.0000 0.0000 5.3024
Ac Y Rh O
1 1 1 6
Direct
0.0000 0.0000 0.0000 Ac
0.3333 0.6667 0.5000 Y
0.6667 0.3333 0.5000 Rh
0.3803 0.0387 0.7130 O
0.3803 0.3416 0.2870 O
0.6584 0.0387 0.2870 O
0.6584 0.6197 0.7130 O
0.9613 0.3416 0.7130 O
0.9613 0.6197 0.2870 O
```

---

What did the first record say?
First-principles (PBE) data for a geometry-optimized AcYRhO6 structure, as listed in Alexandria.

Output
uncorrected energy	-7.371	eV/atom
SG	No. 149
calculated volume	15.75	Å³ per atom
Fermi-level density of states	0.142	states/eV/atom
formation energy (no corrections)	-2074	meV/atom

```
AcYRhO6
1.0
5.5559 0.0000 0.0000
-2.7780 4.8116 0.0000
0.0000 0.0000 5.3024
Ac Y Rh O
1 1 1 6
Direct
0.0000 0.0000 0.0000 Ac
0.3333 0.6667 0.5000 Y
0.6667 0.3333 0.5000 Rh
0.3803 0.0387 0.7130 O
0.3803 0.3416 0.2870 O
0.6584 0.0387 0.2870 O
0.6584 0.6197 0.7130 O
0.9613 0.3416 0.7130 O
0.9613 0.6197 0.2870 O
```